Ba3U2CoO9: relaxed, GGA+U.

Cell lengths 6.0817, 6.0817, 7.5253 Å; angles 90.00, 90.00, 120.00 degrees
Closest atoms and distances in Å follow each position.
Atoms (fractional coordinates):
O1 0.1694 0.3388 0.3311  1 U 2.09, 1 Co 2.19
O2 0.8306 0.1694 0.6689  1 U 2.09, 1 Co 2.19
O3 0.1694 0.8306 0.3311  1 U 2.09, 1 Co 2.19
O4 0.6612 0.8306 0.3311  1 U 2.09, 1 Co 2.19
O5 0.5000 0.5000 0.0000  2 U 2.20
O6 0.0000 0.5000 0.0000  2 U 2.20
O7 0.8306 0.6612 0.6689  1 U 2.09, 1 Co 2.19
O8 0.5000 0.0000 0.0000  2 U 2.20
O9 0.3388 0.1694 0.6689  1 U 2.09, 1 Co 2.19
Ba1 0.6667 0.3333 0.3529  12 O 2.94-3.18
Ba2 0.0000 0.0000 0.0000  12 O 3.04-3.06
Ba3 0.3333 0.6667 0.6471  12 O 2.94-3.18
U1 0.6667 0.3333 0.8243  6 O 2.09-2.20
U2 0.3333 0.6667 0.1757  6 O 2.09-2.20
Co1 0.0000 0.0000 0.5000  6 O 2.19

Computed properties:
* space group: P-3m1 (164)
* E: -120.37 eV per cell
* spin magnetization: 4.124 μB per formula unit